1.
KYZr2 | PBE-GGA | relaxed

a = 3.310 Å, b = 3.307 Å, c = 11.638 Å
α = 90.00°, β = 90.05°, γ = 90.00°
Positions (direct):
K 0.000 0.000 0.000
Y 0.506 0.500 0.682
Zr 0.005 0.000 0.476
Zr 0.504 0.500 0.299

Output
The offset from the most stable computed form is 0 meV/atom. As for the space-group type: No. 6. For the energy of formation, the calculation gives 0.3291 eV per atom.

---

2.
KY2Zr | PBE-GGA | relaxed

a = 6.041 Å, b = 6.041 Å, c = 7.206 Å
α = 95.43°, β = 95.43°, γ = 32.27°
Positions (direct):
K 0.000 0.000 0.000
Y 0.509 0.509 0.527
Y 0.761 0.761 0.302
Zr 0.243 0.243 0.677

Output
The offset from the most stable computed form is 293 meV/atom. As for the space-group type: No. 8. For the energy of formation, the calculation gives 0.5275 eV per atom.

---

3.
KYZr2 | PBE-GGA | relaxed

a = 6.899 Å, b = 6.899 Å, c = 6.899 Å
α = 151.97°, β = 131.02°, γ = 57.39°
Positions (direct):
K 0.000 0.000 0.000
Y 0.500 0.500 0.000
Zr 0.264 0.764 0.500
Zr 0.736 0.236 0.500

Output
The offset from the most stable computed form is 411 meV/atom. As for the space-group type: No. 71. For the energy of formation, the calculation gives 0.7397 eV per atom.

---

4.
KYZr2 | PBE-GGA | relaxed

a = 5.821 Å, b = 5.821 Å, c = 5.821 Å
α = 129.51°, β = 129.51°, γ = 74.19°
Positions (direct):
K 0.000 0.000 0.000
Y 0.250 0.750 0.500
Zr 0.500 0.500 0.000
Zr 0.750 0.250 0.500

Output
The offset from the most stable computed form is 491 meV/atom. As for the space-group type: No. 119. For the energy of formation, the calculation gives 0.8199 eV per atom.

---

5.
KY2Zr | PBE-GGA | relaxed

a = 7.140 Å, b = 7.140 Å, c = 7.140 Å
α = 151.71°, β = 129.61°, γ = 58.79°
Positions (direct):
K 0.000 0.000 0.000
Y 0.273 0.773 0.500
Y 0.535 0.535 0.000
Zr 0.746 0.246 0.500

Output
The offset from the most stable computed form is 367 meV/atom. As for the space-group type: No. 44. For the energy of formation, the calculation gives 0.6020 eV per atom.

---

6.
KYZr2 | PBE-GGA | relaxed

a = 3.211 Å, b = 5.562 Å, c = 7.813 Å
α = 90.00°, β = 101.63°, γ = 90.00°
Positions (direct):
K 0.000 0.000 0.000
Y 0.000 0.000 0.500
Zr 0.379 0.500 0.661
Zr 0.621 0.500 0.339

Output
The offset from the most stable computed form is 263 meV/atom. As for the space-group type: No. 10. For the energy of formation, the calculation gives 0.5916 eV per atom.

---

7.
KYZr2 | PBE-GGA | relaxed

a = 12.526 Å, b = 12.526 Å, c = 12.526 Å
α = 15.22°, β = 15.22°, γ = 15.22°
Positions (direct):
K 0.000 0.000 0.000
Y 0.500 0.500 0.500
Zr 0.239 0.239 0.239
Zr 0.761 0.761 0.761

Output
The offset from the most stable computed form is 140 meV/atom. As for the space-group type: No. 166. For the energy of formation, the calculation gives 0.4693 eV per atom.

---

8.
KYZr2 | PBE-GGA | relaxed

a = 6.205 Å, b = 6.205 Å, c = 6.205 Å
α = 135.81°, β = 135.81°, γ = 64.27°
Positions (direct):
K 0.000 0.000 0.000
Y 0.500 0.500 0.000
Zr 0.250 0.750 0.500
Zr 0.750 0.250 0.500

Output
The offset from the most stable computed form is 498 meV/atom. As for the space-group type: No. 139. For the energy of formation, the calculation gives 0.8267 eV per atom.

---

What did the second record say?
KY2Zr | PBE-GGA | relaxed

a = 6.041 Å, b = 6.041 Å, c = 7.206 Å
α = 95.43°, β = 95.43°, γ = 32.27°
Positions (direct):
K 0.000 0.000 0.000
Y 0.509 0.509 0.527
Y 0.761 0.761 0.302
Zr 0.243 0.243 0.677

Output
The offset from the most stable computed form is 293 meV/atom. As for the space-group type: No. 8. For the energy of formation, the calculation gives 0.5275 eV per atom.

---

The highest energy of formation belongs to which entry?
number 8

---

Which value of offset from the most stable computed form does entry 8 give?
498 meV/atom

---

energy of formation of number 2 (KY2Zr)?
0.5275 eV per atom